A plane-wave DFT calculation with GGA-PBE was carried out for a relaxed structure of Ac3GePd6Au2.

The structure in extended XYZ format:
```
12
Lattice="-0.011 -3.758 4.553 0.587 -2.039 -5.509 8.828 0.768 0.656" Properties=species:S:1:pos:R:3 pbc="T T T"
Pd 3.060 -2.113 -3.574
Pd 6.344 -2.916 3.274
Pd 6.626 -3.895 0.629
Pd 3.054 -3.917 -1.388
Pd 2.778 -1.134 -0.929
Pd 6.349 -1.112 1.088
Ac 3.413 -2.904 1.439
Ac 5.990 -2.124 -1.739
Ac 0.000 0.000 0.000
Au 0.629 -2.591 -2.137
Au 8.775 -2.438 1.837
Ge 4.414 0.384 0.328
```

Output
The formation energy comes out at -0.732 eV/atom. The calculation puts the total energy at -63.4 eV/f.u. Its symmetry is P-3m1 (164). As for the magnetic moment: 0.00 μB per formula unit.

A plane-wave DFT calculation with GGA-PBE was carried out for a relaxed structure of TaReBr.

The structure in extended XYZ format:
```
3
Lattice="-3.491 5.223 -3.779 -5.636 3.240 -2.733 0.230 2.635 1.623" Properties=species:S:1:pos:R:3 pbc="T T T"
Br 0.100 2.716 1.509
Ta -6.099 6.577 -3.879
Re -2.668 4.440 -0.897
```

Output
As for the energy above the lowest structure with this stoichiometry: 273 meV/atom. The calculation puts the uncorrected formation energy at 511 meV per atom. The calculation puts the total energy at -24.4 eV/f.u. Its symmetry is Fmm2 (42). As for the magnetic moment: 0.00 μB per formula unit.

A plane-wave DFT calculation with GGA-PBE was carried out for a relaxed structure of Pr2HoSc5.

The structure in extended XYZ format:
```
8
Lattice="-3.198 -5.450 -2.425 6.233 1.373 -2.253 2.037 -0.039 6.454" Properties=species:S:1:pos:R:3 pbc="T T T"
Sc 0.698 -2.354 -0.046
Sc 3.315 0.351 4.394
Sc 2.297 0.371 1.167
Sc 5.413 1.057 0.040
Sc 4.833 -1.687 2.055
Ho 6.431 1.038 3.267
Pr 3.814 -1.667 -1.172
Pr 1.716 -2.374 3.182
```

Output
The formation energy comes out at 0.070 eV/atom. The calculation puts the total energy at -45.2 eV/f.u. Its symmetry is I4/mmm (139). As for the magnetic moment: 0.00 μB per formula unit.

A plane-wave DFT calculation with GGA-PBE was carried out for a relaxed structure of UInGa2.

The structure in extended XYZ format:
```
4
Lattice="-0.145 0.973 3.431 -2.482 -2.493 0.602 4.900 -4.518 1.488" Properties=species:S:1:pos:R:3 pbc="T T T"
Ga 3.585 -3.306 1.089
Ga 1.314 -1.212 0.399
U -1.313 -0.760 2.017
In 1.137 -3.019 2.761
```

Output
The formation energy comes out at 0.071 eV/atom. As for the energy above the lowest structure with this stoichiometry: 197 meV/atom. The calculation puts the total energy at -19.8 eV/f.u. Its symmetry is P4/mmm (123). As for the magnetic moment: 3.23 μB per formula unit.

A plane-wave DFT calculation with GGA-PBE was carried out for a relaxed structure of Li2Tm3Ni7.

The structure in extended XYZ format:
```
12
Lattice="-3.414 0.143 3.678 0.994 -2.138 4.432 2.283 6.168 5.307" Properties=species:S:1:pos:R:3 pbc="T T T"
Ni 0.292 3.449 8.724
Ni -0.211 4.531 6.480
Ni 0.075 -0.359 6.936
Ni 2.021 3.377 6.862
Ni -0.068 2.086 6.708
Ni -0.428 0.723 4.692
Ni -2.157 0.796 6.554
Tm 0.996 3.322 4.222
Tm 0.000 0.000 0.000
Tm -1.133 0.850 9.194
Li -1.598 -1.297 5.419
Li 1.462 5.469 7.997
```

Output
The formation energy comes out at -0.356 eV/atom. The calculation puts the total energy at -62.0 eV/f.u. Its symmetry is R-3m (166). As for the magnetic moment: 0.00 μB per formula unit.

A plane-wave DFT calculation with GGA-PBE was carried out for a relaxed structure of LaCd2GaPd2.

The structure in extended XYZ format:
```
6
Lattice="5.336 0.000 0.000 0.000 5.336 0.000 -2.668 -2.668 5.246" Properties=species:S:1:pos:R:3 pbc="T T T"
Ga 0.000 0.000 0.000
Pd 0.000 0.000 2.401
Pd 2.668 2.668 2.845
La 2.668 2.668 0.000
Cd 0.000 2.668 2.623
Cd 2.668 0.000 2.623
```

Output
The formation energy comes out at -0.309 eV/atom. The calculation puts the total energy at -22.0 eV/f.u. Its symmetry is I4/mmm (139). As for the magnetic moment: 0.00 μB per formula unit.

A plane-wave DFT calculation with GGA-PBE was carried out for a relaxed structure of Nd2Be3Cu12Ni.

The structure in extended XYZ format:
```
18
Lattice="7.207 -0.215 -0.153 3.372 6.373 -0.153 3.372 1.963 6.065" Properties=species:S:1:pos:R:3 pbc="T T T"
Cu 5.314 0.844 0.599
Cu 8.636 7.276 5.161
Cu 10.592 6.165 1.990
Cu 7.374 4.292 0.400
Cu 3.358 4.204 0.599
Cu 10.592 3.917 5.161
Cu 7.374 1.797 3.919
Cu 3.358 1.955 3.769
Cu 8.746 2.596 1.841
Cu 6.576 6.323 1.841
Cu 5.204 5.525 3.919
Cu 6.576 3.828 5.359
Be 1.686 0.981 3.033
Be 1.686 3.187 -0.076
Be 3.603 -0.108 -0.076
Nd 8.512 4.955 3.514
Nd 5.438 3.165 2.245
Ni 0.000 0.000 0.000
```

Output
The formation energy comes out at 0.334 eV/atom. The calculation puts the total energy at -69.6 eV/f.u. Its symmetry is R-3m (166). As for the magnetic moment: 0.00 μB per formula unit.

A plane-wave DFT calculation with GGA-PBE was carried out for a relaxed structure of La2Dy6Th.

The structure in extended XYZ format:
```
9
Lattice="-2.460 1.375 2.212 1.872 -2.894 0.979 18.682 15.797 10.963" Properties=species:S:1:pos:R:3 pbc="T T T"
Dy 15.118 10.950 10.010
Dy 4.421 1.905 3.733
Dy 1.010 1.665 2.990
Dy 8.616 5.453 6.195
Dy 15.640 14.036 11.575
Dy 10.922 7.403 7.548
La 11.512 10.545 9.153
La 5.138 5.156 5.413
Th 0.428 -1.471 1.390
```

Output
The formation energy comes out at 0.079 eV/atom. The calculation puts the total energy at -44.2 eV/f.u. Its symmetry is P-6m2 (187). As for the magnetic moment: 0.00 μB per formula unit.

A plane-wave DFT calculation with GGA-PBE was carried out for a relaxed structure of Sr2ReGe.

The structure in extended XYZ format:
```
8
Lattice="11.356 0.000 0.000 0.000 11.356 0.000 5.678 5.678 2.418" Properties=species:S:1:pos:R:3 pbc="T T T"
Ge 5.678 11.356 1.209
Ge 5.678 5.678 0.000
Re 0.000 0.000 0.000
Re 11.356 5.678 1.209
Sr 12.072 8.517 0.605
Sr 8.517 6.395 1.814
Sr 14.195 4.961 1.814
Sr 10.639 2.839 0.605
```

Output
The formation energy comes out at 0.464 eV/atom. The calculation puts the total energy at -18.6 eV/f.u. Its symmetry is I-42d (122). As for the magnetic moment: 0.57 μB per formula unit.

A plane-wave DFT calculation with GGA-PBE was carried out for a relaxed structure of UPd4Pt3.

The structure in extended XYZ format:
```
8
Lattice="-2.665 2.742 -1.514 -1.792 -2.989 -2.258 -2.652 -1.382 7.749" Properties=species:S:1:pos:R:3 pbc="T T T"
Pd -3.313 -2.241 1.775
Pd -3.457 -0.503 -0.410
Pd -3.796 0.611 2.203
Pd -3.652 -1.126 4.387
U -1.332 1.371 -0.757
Pt -5.890 -1.253 2.514
Pt -1.219 -0.377 1.464
Pt -0.896 -1.494 -1.129
```

Output
The formation energy comes out at -0.431 eV/atom. The calculation puts the total energy at -53.6 eV/f.u. Its symmetry is Immm (71). As for the magnetic moment: 0.56 μB per formula unit.

A plane-wave DFT calculation with GGA-PBE was carried out for a relaxed structure of CaSm2Tm.

The structure in extended XYZ format:
```
4
Lattice="3.565 0.000 0.000 1.783 3.087 0.000 1.783 1.029 12.704" Properties=species:S:1:pos:R:3 pbc="T T T"
Sm 1.783 1.029 9.190
Sm 5.348 3.087 3.513
Ca 0.000 0.000 0.000
Tm 3.565 2.058 6.352
```

Output
The formation energy comes out at 0.141 eV/atom. As for the energy above the lowest structure with this stoichiometry: 91 meV/atom. The calculation puts the total energy at -15.3 eV/f.u. Its symmetry is R-3m (166). As for the magnetic moment: 0.00 μB per formula unit.

A plane-wave DFT calculation with GGA-PBE was carried out for a relaxed structure of HfPa2V9.

The structure in extended XYZ format:
```
12
Lattice="-5.018 -0.646 -1.443 -3.139 -3.200 2.755 -4.925 5.046 5.275" Properties=species:S:1:pos:R:3 pbc="T T T"
Pa -9.111 -1.109 3.404
Pa -3.971 2.309 3.182
V -5.441 -2.557 0.880
V -6.176 -2.010 3.194
V -8.478 1.607 4.773
V -7.118 -0.731 1.090
V -6.906 3.210 3.393
V -5.964 1.931 5.496
V -7.642 3.756 5.707
V -4.604 -0.407 1.813
V -6.541 0.600 3.293
Hf 0.000 0.000 0.000
```

Output
The formation energy comes out at 0.103 eV/atom. The calculation puts the total energy at -109.8 eV/f.u. Its symmetry is R-3m (166). As for the magnetic moment: 0.00 μB per formula unit.